Here is an optimized crystal structure of Y2AlCd from the Alexandria database. Energies are from GGA-PBE.

## Properties
Calculated total energy: -4.39 eV/atom
DOS at the Fermi energy: 1.04 states/eV per atom

Structure (extended XYZ):
```
4
Lattice="1.7338 1.0010 10.2780 -1.7338 1.0010 10.2780 0.0000 -2.0020 10.2780" Properties=species:S:1:pos:R:3 pbc="T T T"
Y 0.0000 0.0000 0.0000
Y 0.0000 0.0000 7.3592
Al 0.0000 0.0000 23.0701
Cd 0.0000 0.0000 14.9878
```


Here is an optimized crystal structure of YAlCd2 from the Alexandria database. Energies are from GGA-PBE.

## Properties
Calculated total energy: -3.21 eV/atom
DOS at the Fermi energy: 0.45 states/eV per atom

Structure (extended XYZ):
```
4
Lattice="3.3397 0.0000 0.0000 0.0000 4.7755 0.0000 -0.0088 0.0000 5.9230" Properties=species:S:1:pos:R:3 pbc="T T T"
Y 0.0000 0.0000 0.0000
Al 1.6615 2.3877 4.5767
Cd 1.6629 0.0000 3.0686
Cd 1.6720 2.3877 1.5068
```


Here is an optimized crystal structure of Y4AlCd2 from the Alexandria database. Energies are from GGA-PBE.

## Properties
Calculated total energy: -4.68 eV/atom
DOS at the Fermi energy: 1.31 states/eV per atom

Structure (extended XYZ):
```
7
Lattice="2.5933 1.4972 8.4344 -2.5933 1.4972 8.4344 0.0000 -2.9945 8.4344" Properties=species:S:1:pos:R:3 pbc="T T T"
Y 0.0000 0.0000 3.0919
Y 0.0000 0.0000 9.4601
Y 0.0000 0.0000 15.8431
Y 0.0000 0.0000 22.2113
Al 0.0000 0.0000 12.6516
Cd 0.0000 0.0000 6.2721
Cd 0.0000 0.0000 19.0311
```


So what do the calculations give for formation energy? Going down the list: 0.004 -0.198 -0.189 eV/atom.